## Y2Si3Pd2 (PBE-GGA)

Data for crystalline Y2Si3Pd2 at its relaxed geometry.

Energy relative to the elements, uncorrected: -922.1 meV per atom
E_tot: -184.15 eV/cell
Crystal system: orthorhombic

Cell lengths 4.161, 17.758, 6.916 Å; angles 90.00, 90.00, 90.00 degrees
Space group Cmcm (No. 63)
One atom of each set of equivalent atoms:
Y 0.000 0.055 0.250 x4
Y 0.000 0.154 0.750 x4
Si 0.000 0.225 0.250 x4
Si 0.000 0.440 0.073 x8
Pd 0.000 0.308 0.549 x8